Record 1
VASP calculation (PBE) on crystalline In2OsS at its relaxed geometry.

Cell: 6.1285 6.1285 12.1133 Å, 90.00 90.00 90.00°
Space group I-42d (No. 122)
Unique sites:
In 0.2439 0.2500 0.1250 x8
Os 0.0000 0.0000 0.0000 x4
S 0.0000 0.0000 0.5000 x4

ΔE_f (raw) = 0.726 eV/atom

=====

Record 2
VASP calculation (PBE) on crystalline Mg2Cd2Pd at its relaxed geometry.

Cell: 12.9417 4.9688 3.1561 Å, 90.00 91.65 90.00°
Space group C2/m (No. 12)
Unique sites:
Mg 0.1710 0.0000 0.0109 x4
Cd 0.1146 0.5000 0.4942 x4
Pd 0.0000 0.0000 0.5000 x2

offset from the most stable computed form = 101 meV per atom

=====

Record 3
VASP calculation (PBE) on crystalline TeMoRh2 at its relaxed geometry.

Cell: 2.9787 2.9787 26.5740 Å, 90.00 90.00 120.00°
Space group R-3m (No. 166, hexagonal axes)
Unique sites:
Te 0.0000 0.0000 0.0000 x3
Mo 0.0000 0.0000 0.5000 x3
Rh 0.0000 0.0000 0.2453 x6

ΔE_f (raw) = 0.198 eV/atom

=====

Record 4
VASP calculation (PBE) on crystalline Nd8Ge3OsI4 at its relaxed geometry.

Cell: 8.7097 8.7097 23.3241 Å, 90.00 90.00 120.00°
Space group R-3m (No. 166, hexagonal axes)
Unique sites:
Nd 0.0000 0.0000 0.2335 x6
Nd 0.0156 0.5078 0.2306 x18
Ge 0.0000 0.5000 0.5000 x9
Os 0.0000 0.0000 0.5000 x3
I 0.0000 0.0000 0.0000 x3
I 0.0000 0.5000 0.0000 x9

ΔE_f (raw) = -0.894 eV/atom

=====

Record 5
VASP calculation (PBE) on crystalline DyEr2RuN4 at its relaxed geometry.

Cell: 3.3623 11.4751 11.5265 Å, 90.00 90.00 90.00°
Space group Cmcm (No. 63)
Unique sites:
Dy 0.0000 0.1301 0.2500 x4
Er 0.0000 0.3688 0.0419 x8
Ru 0.0000 0.1341 0.7500 x4
N 0.0000 0.0000 0.0000 x4
N 0.0000 0.2674 0.6293 x8
N 0.0000 0.4536 0.2500 x4

ΔE_f (raw) = -1.065 eV/atom

=====

Record 6
VASP calculation (PBE) on crystalline LiNdSn4Rh2 at its relaxed geometry.

Cell: 4.5757 4.5757 27.5079 Å, 90.00 90.00 120.00°
Space group R-3m (No. 166, hexagonal axes)
Unique sites:
Li 0.0000 0.0000 0.0000 x3
Nd 0.0000 0.0000 0.5000 x3
Sn 0.0000 0.0000 0.1037 x6
Sn 0.0000 0.0000 0.3708 x6
Rh 0.0000 0.0000 0.2690 x6

uncorrected energy = -0.1916 hartree per atom

=====

| no. | N(E_F) (states/eV/cell) |
| --- | --- |
| 1 | 0.9 |
| 2 | 4.0 |
| 3 | 12.4 |
| 4 | 37.1 |
| 5 | 8.9 |
| 6 | 8.0 |